(a)
Density functional theory data (PBE-GGA) for crystalline NdAuSO at its relaxed geometry.

As for the crystal system: orthorhombic. The value obtained for the volume is 296.7 Å³/cell. Its magnetic moment is 0.0 μB per formula unit.

It has space group Pbcm (No. 57), with a = 9.228 Å, b = 5.613 Å, c = 5.728 Å, α = 90.00°, β = 90.00° and γ = 90.00°. The inequivalent atoms are Nd at (0.130, 0.005, 0.250), Au at (0.448, 0.250, 0.000), S at (0.295, 0.518, 0.250) and O at (0.003, 0.750, 0.000).

***

(b)
Density functional theory data (PBE-GGA) for crystalline NdAuSO at its relaxed geometry.

As for the crystal system: orthorhombic. The value obtained for the volume is 302.8 Å³/cell. Its magnetic moment is 0.0 μB per formula unit.

It has space group Aem2 (No. 39), with a = 9.073 Å, b = 5.777 Å, c = 5.776 Å, α = 90.00°, β = 90.00° and γ = 90.00°. The inequivalent atoms are Nd at (0.130, 0.250, 0.000), Au at (0.500, 0.000, 0.001), S at (0.289, 0.250, 0.501) and O at (0.000, 0.000, 0.250).

***

Which one sits at the top of the stability order? (b) does.

***

(a)
Density functional theory data (PBE-GGA) for crystalline NdAuSO at its relaxed geometry.

As for the crystal system: tetragonal. The value obtained for the volume is 294.0 Å³/cell. Its magnetic moment is 0.0 μB per formula unit.

It has space group P4bm (No. 100), with a = 5.667 Å, b = 5.667 Å, c = 9.153 Å, α = 90.00°, β = 90.00° and γ = 90.00°. The inequivalent atoms are Nd at (0.000, 0.000, 0.000), Nd at (0.000, 0.500, 0.264), Au at (0.179, 0.321, 0.624), S at (0.000, 0.000, 0.433), S at (0.000, 0.500, 0.847) and O at (0.249, 0.251, 0.134).

***

(b)
Density functional theory data (PBE-GGA) for crystalline NdAuSO at its relaxed geometry.

As for the crystal system: orthorhombic. The value obtained for the volume is 303.7 Å³/cell. Its magnetic moment is 0.0 μB per formula unit.

It has space group Pba2 (No. 32), with a = 5.761 Å, b = 5.779 Å, c = 9.123 Å, α = 90.00°, β = 90.00° and γ = 90.00°. The inequivalent atoms are Nd at (0.000, 0.000, 0.000), Nd at (0.000, 0.500, 0.258), Au at (0.250, 0.004, 0.628), S at (0.000, 0.000, 0.418), S at (0.000, 0.500, 0.839) and O at (0.250, 0.250, 0.129).

***

Which one sits at the top of the stability order? (b) does.

***

(a)
Density functional theory data (PBE-GGA) for crystalline NdAuSO at its relaxed geometry.

As for the crystal system: orthorhombic. The value obtained for the volume is 156.2 Å³/cell. Its magnetic moment is 0.0 μB per formula unit.

It has space group Pmc2_1 (No. 26), with a = 4.120 Å, b = 5.690 Å, c = 6.664 Å, α = 90.00°, β = 90.00° and γ = 90.00°. The inequivalent atoms are Nd at (0.000, 0.237, 0.000), Au at (0.500, 0.322, 0.600), S at (0.500, 0.086, 0.295) and O at (0.000, 0.458, 0.715).

***

(b)
Density functional theory data (PBE-GGA) for crystalline NdAuSO at its relaxed geometry.

As for the crystal system: monoclinic. The value obtained for the volume is 347.7 Å³/cell. Its magnetic moment is 0.0 μB per formula unit.

It has space group P2_1/c (No. 14), with a = 6.260 Å, b = 7.244 Å, c = 7.793 Å, α = 90.00°, β = 100.36° and γ = 90.00°. The inequivalent atoms are Nd at (0.123, 0.138, 0.175), Au at (0.447, 0.725, 0.516), S at (0.498, 0.083, 0.710) and O at (0.028, 0.155, 0.878).

***

Which one sits at the top of the stability order? (b) does.

***

(a)
Density functional theory data (PBE-GGA) for crystalline NdTeAuO at its relaxed geometry.

As for the crystal system: tetragonal. The value obtained for the volume is 171.7 Å³/cell. Its magnetic moment is 0.0 μB per formula unit.

It has space group P4/nmm (No. 129, origin choice 2), with a = 4.152 Å, b = 4.152 Å, c = 9.964 Å, α = 90.00°, β = 90.00° and γ = 90.00°. The inequivalent atoms are Nd at (0.250, 0.250, 0.115), Te at (0.250, 0.250, 0.707), Au at (0.250, 0.750, 0.500) and O at (0.250, 0.750, 0.000).

***

(b)
Density functional theory data (PBE-GGA) for crystalline NdTeAuO at its relaxed geometry.

As for the crystal system: orthorhombic. The value obtained for the volume is 358.3 Å³/cell. Its magnetic moment is 0.0 μB per formula unit.

It has space group Aem2 (No. 39), with a = 10.364 Å, b = 5.868 Å, c = 5.892 Å, α = 90.00°, β = 90.00° and γ = 90.00°. The inequivalent atoms are Nd at (0.111, 0.250, 0.000), Te at (0.283, 0.250, 0.501), Au at (0.500, 0.000, 0.001) and O at (0.000, 0.000, 0.250).

***

Which one sits at the top of the stability order? (b) does.

***

(a)
Density functional theory data (PBE-GGA) for crystalline NdTeAuO at its relaxed geometry.

As for the crystal system: tetragonal. The value obtained for the volume is 345.4 Å³/cell. Its magnetic moment is 0.0 μB per formula unit.

It has space group P4bm (No. 100), with a = 5.856 Å, b = 5.856 Å, c = 10.070 Å, α = 90.00°, β = 90.00° and γ = 90.00°. The inequivalent atoms are Nd at (0.000, 0.000, 0.000), Nd at (0.000, 0.500, 0.229), Te at (0.000, 0.000, 0.409), Te at (0.000, 0.500, 0.822), Au at (0.221, 0.279, 0.612) and O at (0.249, 0.251, 0.115).

***

(b)
Density functional theory data (PBE-GGA) for crystalline NdTeAuO at its relaxed geometry.

As for the crystal system: orthorhombic. The value obtained for the volume is 187.3 Å³/cell. Its magnetic moment is 0.0 μB per formula unit.

It has space group Pmc2_1 (No. 26), with a = 4.568 Å, b = 5.819 Å, c = 7.048 Å, α = 90.00°, β = 90.00° and γ = 90.00°. The inequivalent atoms are Nd at (0.000, 0.225, 0.000), Te at (0.500, 0.393, 0.310), Au at (0.500, 0.153, 0.637) and O at (0.000, 0.038, 0.728).

***

(c)
Density functional theory data (PBE-GGA) for crystalline NdTeAuO at its relaxed geometry.

As for the crystal system: orthorhombic. The value obtained for the volume is 357.0 Å³/cell. Its magnetic moment is 0.0 μB per formula unit.

It has space group Pcca (No. 54), with a = 5.879 Å, b = 10.289 Å, c = 5.901 Å, α = 90.00°, β = 90.00° and γ = 90.00°. The inequivalent atoms are Nd at (0.000, 0.111, 0.250), Te at (0.000, 0.283, 0.750), Au at (0.250, 0.500, 0.244) and O at (0.250, 0.000, 0.000).

***

Which one sits at the top of the stability order? (c) does.

***

(a)
Density functional theory data (PBE-GGA) for crystalline NdTeAuO at its relaxed geometry.

As for the crystal system: orthorhombic. The value obtained for the volume is 345.7 Å³/cell. Its magnetic moment is 0.0 μB per formula unit.

It has space group Pba2 (No. 32), with a = 5.862 Å, b = 5.864 Å, c = 10.057 Å, α = 90.00°, β = 90.00° and γ = 90.00°. The inequivalent atoms are Nd at (0.000, 0.000, 0.000), Nd at (0.000, 0.500, 0.229), Te at (0.000, 0.000, 0.407), Te at (0.000, 0.500, 0.820), Au at (0.227, 0.214, 0.618) and O at (0.249, 0.249, 0.114).

***

(b)
Density functional theory data (PBE-GGA) for crystalline NdTeAuO at its relaxed geometry.

As for the crystal system: monoclinic. The value obtained for the volume is 325.8 Å³/cell. Its magnetic moment is 0.0 μB per formula unit.

It has space group P2_1/c (No. 14), with a = 7.744 Å, b = 6.493 Å, c = 6.480 Å, α = 90.00°, β = 90.59° and γ = 90.00°. The inequivalent atoms are Nd at (0.112, 0.019, 0.257), Te at (0.304, 0.531, 0.295), Au at (0.447, 0.205, 0.492) and O at (0.004, 0.743, 0.996).

***

(c)
Density functional theory data (PBE-GGA) for crystalline NdTeAuO at its relaxed geometry.

As for the crystal system: orthorhombic. The value obtained for the volume is 715.7 Å³/cell. Its magnetic moment is 0.0 μB per formula unit.

It has space group Aea2 (No. 41), with a = 20.720 Å, b = 5.864 Å, c = 5.890 Å, α = 90.00°, β = 90.00° and γ = 90.00°. The inequivalent atoms are Nd at (0.055, 0.250, 0.000), Te at (0.142, 0.249, 0.500), Au at (0.250, 0.498, 0.003), O at (0.000, 0.000, 0.250) and O at (0.000, 0.000, 0.750).

***

Which one sits at the top of the stability order? (c) does.

***

(a)
Density functional theory data (PBE-GGA) for crystalline NdPbAuS3 at its relaxed geometry.

As for the crystal system: monoclinic. The value obtained for the volume is 299.1 Å³/cell. Its magnetic moment is 0.0 μB per formula unit.

It has space group P2_1/m (No. 11), with a = 7.680 Å, b = 4.085 Å, c = 9.885 Å, α = 90.00°, β = 105.36° and γ = 90.00°. The inequivalent atoms are Nd at (0.200, 0.250, 0.161), Pb at (0.227, 0.750, 0.700), Au at (0.369, 0.750, 0.417), S at (0.071, 0.250, 0.865), S at (0.190, 0.250, 0.455) and S at (0.463, 0.750, 0.190).

***

(b)
Density functional theory data (PBE-GGA) for crystalline NdPbAuS3 at its relaxed geometry.

As for the crystal system: orthorhombic. The value obtained for the volume is 576.6 Å³/cell. Its magnetic moment is 0.0 μB per formula unit.

It has space group Cmcm (No. 63), with a = 4.062 Å, b = 13.330 Å, c = 10.648 Å, α = 90.00°, β = 90.00° and γ = 90.00°. The inequivalent atoms are Nd at (0.000, 0.000, 0.000), Pb at (0.000, 0.241, 0.250), Au at (0.000, 0.468, 0.750), S at (0.000, 0.091, 0.750) and S at (0.000, 0.356, 0.562).

***

(c)
Density functional theory data (PBE-GGA) for crystalline NdPbAuS3 at its relaxed geometry.

As for the crystal system: orthorhombic. The value obtained for the volume is 597.6 Å³/cell. Its magnetic moment is 0.0 μB per formula unit.

It has space group Pnma (No. 62), with a = 13.465 Å, b = 4.064 Å, c = 10.920 Å, α = 90.00°, β = 90.00° and γ = 90.00°. The inequivalent atoms are Nd at (0.010, 0.250, 0.173), Pb at (0.223, 0.250, 0.447), Au at (0.013, 0.250, 0.598), S at (0.108, 0.250, 0.941), S at (0.126, 0.750, 0.625) and S at (0.140, 0.750, 0.265).

***

Which one sits at the top of the stability order? (b) does.

***

(a)
Density functional theory data (PBE-GGA) for crystalline NdTe3PbAu at its relaxed geometry.

As for the crystal system: orthorhombic. The value obtained for the volume is 745.6 Å³/cell. Its magnetic moment is 0.0 μB per formula unit.

It has space group Cmcm (No. 63), with a = 4.368 Å, b = 14.864 Å, c = 11.485 Å, α = 90.00°, β = 90.00° and γ = 90.00°. The inequivalent atoms are Nd at (0.000, 0.000, 0.000), Te at (0.000, 0.094, 0.250), Te at (0.000, 0.350, 0.060), Pb at (0.000, 0.228, 0.750) and Au at (0.000, 0.470, 0.250).

***

(b)
Density functional theory data (PBE-GGA) for crystalline NdTe3PbAu at its relaxed geometry.

As for the crystal system: orthorhombic. The value obtained for the volume is 767.8 Å³/cell. Its magnetic moment is 0.0 μB per formula unit.

It has space group Pnma (No. 62), with a = 14.631 Å, b = 4.381 Å, c = 11.980 Å, α = 90.00°, β = 90.00° and γ = 90.00°. The inequivalent atoms are Nd at (0.005, 0.250, 0.179), Te at (0.116, 0.250, 0.945), Te at (0.122, 0.750, 0.613), Te at (0.151, 0.750, 0.249), Pb at (0.215, 0.250, 0.440) and Au at (0.009, 0.750, 0.405).

***

Which one sits at the top of the stability order? (a) does.